Entry 1:
First-principles (GGA-PBE) data for a relaxed structure of ScRe3Sn, as listed in Alexandria.

Calculated values
Energy of formation: 2268 meV per atom
Total moment: 2.8 μB per formula unit
E: -7.268 eV/atom
Energy relative to the lowest polymorph listed for this composition: 7.8 kJ/mol of atoms
V: 20.42 Å³/atom

CIF file:
```
data_ScRe3Sn
_chemical_formula_sum 'Sc1 Re3 Sn1'
_cell_length_a 4.674
_cell_length_b 4.674
_cell_length_c 4.674
_cell_angle_alpha 90.00
_cell_angle_beta 90.00
_cell_angle_gamma 90.00
_symmetry_space_group_name_H-M 'P m -3 m'
_symmetry_Int_Tables_number 221
_symmetry_space_group_name_Hall '-P 4 2 3'
loop_
_atom_site_label
_atom_site_type_symbol
_atom_site_fract_x
_atom_site_fract_y
_atom_site_fract_z
_atom_site_occupancy
Sc1 Sc 0.000 0.000 0.000 1
Re1 Re 0.000 0.000 0.500 1
Sn1 Sn 0.500 0.500 0.500 1
```



Entry 2:
First-principles (GGA-PBE) data for a relaxed structure of ScReSn3, as listed in Alexandria.

Calculated values
Energy of formation: 527 meV per atom
Total moment: 0.0 μB per formula unit
E: -5.631 eV/atom
Energy relative to the lowest polymorph listed for this composition: 0.0 kJ/mol of atoms
V: 27.91 Å³/atom

CIF file:
```
data_ScReSn3
_chemical_formula_sum 'Sc1 Re1 Sn3'
_cell_length_a 5.187
_cell_length_b 5.187
_cell_length_c 5.187
_cell_angle_alpha 90.00
_cell_angle_beta 90.00
_cell_angle_gamma 90.00
_symmetry_space_group_name_H-M 'P m -3 m'
_symmetry_Int_Tables_number 221
_symmetry_space_group_name_Hall '-P 4 2 3'
loop_
_atom_site_label
_atom_site_type_symbol
_atom_site_fract_x
_atom_site_fract_y
_atom_site_fract_z
_atom_site_occupancy
Sc1 Sc 0.000 0.000 0.000 1
Re1 Re 0.500 0.500 0.500 1
Sn1 Sn 0.000 0.500 0.500 1
```



Entry 3:
First-principles (GGA-PBE) data for a relaxed structure of ScRe2Sn, as listed in Alexandria.

Calculated values
Energy of formation: 942 meV per atom
Total moment: 0.0 μB per formula unit
E: -7.866 eV/atom
V: 19.46 Å³/atom

CIF file:
```
data_ScRe2Sn
_chemical_formula_sum 'Sc4 Re8 Sn4'
_cell_length_a 7.555
_cell_length_b 7.555
_cell_length_c 5.454
_cell_angle_alpha 90.00
_cell_angle_beta 90.00
_cell_angle_gamma 90.00
_symmetry_space_group_name_H-M 'I -4 2 d'
_symmetry_Int_Tables_number 122
_symmetry_space_group_name_Hall 'I -4 2bw'
loop_
_atom_site_label
_atom_site_type_symbol
_atom_site_fract_x
_atom_site_fract_y
_atom_site_fract_z
_atom_site_occupancy
Sc1 Sc 0.000 0.000 0.000 1
Re1 Re 0.238 0.750 0.625 1
Sn1 Sn 0.000 0.000 0.500 1
```



Question: total moment of number 3 (ScRe2Sn)?
Answer: 0.0 μB per formula unit



Question: What is the E in the first record?
Answer: -7.268 eV/atom